1.
Material: CdCo2Ir
Method: DFT, PBE
State: optimized geometry

Properties
Calculated formation energy, meV per atom: 244
Space group: R3m
Crystal system: trigonal
Magnetization, μB per formula unit: 3.96

Cell: 8.924 8.924 8.924 Å, 17.66 17.66 17.66°
Last column: magnetic moment on the atom in μB.
Sites, in units of the cell vectors:
Cd (0.747, 0.747, 0.747)  -0.01
Co (0.991, 0.991, 0.991)  1.74
Co (0.254, 0.254, 0.254)  1.82
Ir (0.509, 0.509, 0.509)  0.47

2.
Material: Ce3SiN
Method: DFT, PBE
State: optimized geometry

Properties
Raw formation energy, meV per atom: -736.1
Space group: P2_1/m
Crystal system: monoclinic
Magnetization, μB per formula unit: 1.20

Cell: 3.845 7.936 8.793 Å, 109.80 115.93 90.00°
Last column: magnetic moment on the atom in μB.
Sites, in units of the cell vectors:
Ce (0.339, 0.339, 0.589)  0.41
Ce (0.785, 0.334, 0.035)  0.22
Ce (0.953, 0.026, 0.703)  0.42
Ce (0.661, 0.661, 0.411)  0.41
Ce (0.047, 0.974, 0.297)  0.42
Ce (0.215, 0.666, 0.965)  0.22
Si (0.472, 0.744, 0.722)  -0.01
Si (0.528, 0.256, 0.278)  -0.01
N (0.077, 0.345, 0.827)  -0.02
N (0.923, 0.655, 0.173)  -0.02

3.
Material: CePrScIn
Method: DFT, PBE
State: optimized geometry

Properties
Calculated formation energy, meV per atom: -72
Space group: F-43m
Crystal system: cubic
Magnetization, μB per formula unit: 0.00

Cell: 5.354 5.354 5.354 Å, 60.00 60.00 60.00°
Sites, in units of the cell vectors:
Pr (0.500, 0.500, 0.500)
Sc (0.000, 0.000, 0.000)
Ce (0.750, 0.750, 0.750)
In (0.250, 0.250, 0.250)

4.
Material: Pr2Er3Ir2
Method: DFT, PBE
State: optimized geometry

Properties
Calculated formation energy, meV per atom: -599
Space group: C2/m
Crystal system: monoclinic
Magnetization, μB per formula unit: 0.00

Cell: 3.825 6.446 9.056 Å, 115.95 90.00 107.26°
Sites, in units of the cell vectors:
Pr (0.835, 0.671, 0.195)
Pr (0.165, 0.329, 0.805)
Er (0.500, 0.000, 0.000)
Er (0.621, 0.243, 0.431)
Er (0.379, 0.757, 0.569)
Ir (0.830, 0.661, 0.758)
Ir (0.170, 0.339, 0.242)

5.
Material: Sc2CoB2Ir5
Method: DFT, PBE
State: optimized geometry

Properties
Calculated formation energy, meV per atom: -653
Space group: P4/mbm
Crystal system: tetragonal
Magnetization, μB per formula unit: 2.95

Cell: 9.382 9.382 3.050 Å, 90.00 90.00 90.00°
Last column: magnetic moment on the atom in μB.
Sites, in units of the cell vectors:
Sc (0.677, 0.177, 0.000)  0.01
Sc (0.323, 0.823, 0.000)  0.01
Sc (0.177, 0.323, 0.000)  0.01
Sc (0.823, 0.677, 0.000)  0.01
Co (0.000, 0.000, 0.000)  1.98
Co (0.500, 0.500, 0.000)  1.98
B (0.125, 0.625, 0.000)  0.00
B (0.875, 0.375, 0.000)  0.00
B (0.625, 0.875, 0.000)  0.00
B (0.375, 0.125, 0.000)  0.00
Ir (0.216, 0.069, 0.500)  0.22
Ir (0.784, 0.931, 0.500)  0.22
Ir (0.069, 0.784, 0.500)  0.22
Ir (0.716, 0.431, 0.500)  0.22
Ir (0.931, 0.216, 0.500)  0.22
Ir (0.284, 0.569, 0.500)  0.22
Ir (0.569, 0.716, 0.500)  0.22
Ir (0.431, 0.284, 0.500)  0.22
Ir (0.500, 0.000, 0.500)  0.04
Ir (0.000, 0.500, 0.500)  0.04

6.
Material: FeCoPd3
Method: DFT, PBE
State: optimized geometry

Properties
Calculated formation energy, meV per atom: 1072
Space group: Pm-3m
Crystal system: cubic
Magnetization, μB per formula unit: 6.46
Relative energy among the computed polymorphs, meV per atom: 1104

Cell: 4.572 4.572 4.572 Å, 90.00 90.00 90.00°
Last column: magnetic moment on the atom in μB.
Sites, in units of the cell vectors:
Co (0.500, 0.500, 0.500)  2.22
Fe (0.000, 0.000, 0.000)  3.12
Pd (0.000, 0.500, 0.000)  0.36
Pd (0.000, 0.000, 0.500)  0.55
Pd (0.500, 0.000, 0.000)  0.20

7.
Material: PrIn12Pd6
Method: DFT, PBE
State: optimized geometry

Properties
Calculated formation energy, meV per atom: -337
Space group: R-3m
Crystal system: trigonal
Magnetization, μB per formula unit: 0.00

Cell: 7.869 7.869 7.869 Å, 105.08 105.08 105.08°
Sites, in units of the cell vectors:
Pr (0.000, 0.000, 0.000)
In (0.884, 0.116, 0.500)
In (0.851, 0.598, 0.598)
In (0.598, 0.598, 0.851)
In (0.402, 0.149, 0.402)
In (0.402, 0.402, 0.149)
In (0.149, 0.402, 0.402)
In (0.116, 0.500, 0.884)
In (0.500, 0.884, 0.116)
In (0.116, 0.884, 0.500)
In (0.884, 0.500, 0.116)
In (0.500, 0.116, 0.884)
In (0.598, 0.851, 0.598)
Pd (0.708, 0.281, 0.281)
Pd (0.281, 0.281, 0.708)
Pd (0.281, 0.708, 0.281)
Pd (0.719, 0.719, 0.292)
Pd (0.292, 0.719, 0.719)
Pd (0.719, 0.292, 0.719)

8.
Material: Tb2PmSm2Ho2
Method: DFT, PBE
State: optimized geometry

Properties
Calculated formation energy, meV per atom: 15
Space group: C2/m
Crystal system: monoclinic
Magnetization, μB per formula unit: 0.00

Cell: 5.065 6.194 8.016 Å, 97.37 90.00 114.13°
Sites, in units of the cell vectors:
Tb (0.143, 0.286, 0.430)
Tb (0.857, 0.714, 0.570)
Pm (0.000, 0.000, 0.000)
Sm (0.572, 0.143, 0.715)
Sm (0.428, 0.857, 0.285)
Ho (0.714, 0.429, 0.144)
Ho (0.286, 0.571, 0.856)

9.
Material: Cs2CCl
Method: DFT, PBE
State: optimized geometry

Properties
Raw formation energy, meV per atom: 217.1
Space group: I-42d
Crystal system: tetragonal
Magnetization, μB per formula unit: 3.00
Relative energy among the computed polymorphs, meV per atom: 29

Cell: 9.420 9.420 9.420 Å, 132.62 132.62 69.25°
Last column: magnetic moment on the atom in μB.
Sites, in units of the cell vectors:
Cs (0.142, 0.625, 0.017)  0.05
Cs (0.608, 0.125, 0.983)  0.05
Cs (0.375, 0.392, 0.517)  0.05
Cs (0.875, 0.858, 0.483)  0.05
C (0.250, 0.750, 0.500)  1.19
C (0.500, 0.500, 0.000)  1.19
Cl (0.750, 0.250, 0.500)  0.01
Cl (0.000, 0.000, 0.000)  0.01

10.
Material: ZnPtBr
Method: DFT, PBE
State: optimized geometry

Properties
Raw formation energy, meV per atom: 9.1
Space group: P3m1
Crystal system: trigonal
Magnetization, μB per formula unit: 0.00
Relative energy among the computed polymorphs, meV per atom: 8

Cell: 3.337 3.337 5.905 Å, 90.00 90.00 120.00°
Sites, in units of the cell vectors:
Br (0.000, 0.000, 0.972)
Pt (0.667, 0.333, 0.371)
Zn (0.333, 0.667, 0.657)

11.
Material: Tm2ThTl2Ag2
Method: DFT, PBE
State: optimized geometry

Properties
Calculated formation energy, meV per atom: -131
Space group: R-3m
Crystal system: trigonal
Magnetization, μB per formula unit: 0.00

Cell: 4.893 4.893 9.022 Å, 74.27 74.27 60.00°
Sites, in units of the cell vectors:
Tm (0.134, 0.134, 0.597)
Tm (0.866, 0.866, 0.403)
Th (0.000, 0.000, 0.000)
Tl (0.735, 0.735, 0.795)
Tl (0.265, 0.265, 0.205)
Ag (0.561, 0.561, 0.317)
Ag (0.439, 0.439, 0.683)

12.
Material: K3Zn
Method: DFT, PBE
State: optimized geometry

Properties
Calculated formation energy, meV per atom: 190
Space group: R-3m
Crystal system: trigonal
Magnetization, μB per formula unit: 0.00

Cell: 7.716 7.716 7.716 Å, 116.54 116.54 116.54°
Sites, in units of the cell vectors:
K (0.000, 0.000, 0.000)
K (0.500, 0.000, 0.500)
K (0.500, 0.500, 0.000)
Zn (0.000, 0.500, 0.500)